Entry 1:
Material: Y4B3Rh12Pb
Method: DFT, PBE
State: optimized geometry

Properties
- Formation energy from the elements: -478 meV/atom
- Crystal system: cubic

```
20
Lattice="7.602 0.000 0.000 -2.534 7.167 0.000 -2.534 -3.584 6.207" Properties=species:S:1:pos:R:3 pbc="T T T"
Y 1.267 1.792 3.104
Y -1.267 -1.792 3.104
Y 3.801 0.000 0.000
Y -1.267 3.584 0.000
B 2.534 -1.792 3.104
B 2.534 3.584 0.000
B -2.534 1.792 3.104
Rh -1.267 0.896 4.655
Rh 3.635 -2.571 4.453
Rh 1.433 -1.013 1.755
Rh 3.801 2.688 1.552
Rh 3.635 5.141 0.000
Rh 1.433 2.026 0.000
Rh 3.801 0.000 3.104
Rh -1.267 3.584 3.104
Rh 1.267 -0.896 4.655
Rh -3.635 2.571 4.453
Rh 1.267 4.480 1.552
Rh -1.433 1.013 1.755
Pb 0.000 0.000 0.000
```

***

Entry 2:
Material: BRu2Pb2
Method: DFT, PBE
State: optimized geometry

Properties
- Energy above the lowest structure with this stoichiometry: 0.00 eV/f.u.
- Formation energy from the elements: 559 meV/atom
- Crystal system: tetragonal

```
10
Lattice="6.074 0.000 0.000 0.000 6.074 0.000 0.000 0.000 4.775" Properties=species:S:1:pos:R:3 pbc="T T T"
Pb 1.051 4.088 2.388
Pb 4.088 5.023 2.388
Pb 5.023 1.986 2.388
Pb 1.986 1.051 2.388
Ru 1.982 5.018 0.000
Ru 5.018 4.092 0.000
Ru 4.092 1.055 0.000
Ru 1.055 1.982 0.000
B 0.000 0.000 0.000
B 3.037 3.037 0.000
```

***

Entry 3:
Material: BRu2Pb2
Method: DFT, PBE
State: optimized geometry

Properties
- Energy above the lowest structure with this stoichiometry: 0.44 eV/f.u.
- Formation energy from the elements: 646 meV/atom
- Crystal system: tetragonal

```
5
Lattice="5.401 0.000 0.000 0.000 5.401 0.000 2.701 2.701 4.093" Properties=species:S:1:pos:R:3 pbc="T T T"
Pb 5.401 2.701 2.046
Pb 2.701 5.401 2.046
Ru 2.701 2.701 2.194
Ru 5.401 5.401 1.899
B 0.000 0.000 0.000
```

***

Entry 4:
Material: BRuPb3
Method: DFT, PBE
State: optimized geometry

Properties
- Energy above the lowest structure with this stoichiometry: 0.35 eV/f.u.
- Formation energy from the elements: 1229 meV/atom
- Crystal system: cubic

```
5
Lattice="-1.685 -3.176 3.357 2.487 -3.634 -2.190 3.894 0.947 2.851" Properties=species:S:1:pos:R:3 pbc="T T T"
Pb 1.243 -1.817 -1.095
Pb 1.947 0.473 1.425
Pb -0.842 -1.588 1.678
Ru 2.348 -2.931 2.009
B 0.000 0.000 0.000
```

***

formation energy from the elements of number 4 (BRuPb3)?
1229 meV/atom